Below is crystalline LiCu2Rh at its relaxed geometry, with properties calculated at the GGA-PBEsol level.

abc: 8.597 2.587 4.443
angles: 90.00 100.82 90.00
Space group Cm (No. 8)
One atom of each set of equivalent atoms:
Li (0.000, 0.000, 0.000) (multiplicity 2)
Cu (0.254, 0.500, 0.243) (multiplicity 2)
Cu (0.495, 0.000, 0.498) (multiplicity 2)
Rh (0.242, 0.000, 0.735) (multiplicity 2)

Values from the calculation:
Energy of formation from the pure elements ... -0.0130 eV/atom
Total moment ... 0.01 μB per formula unit